Entry 1:
VASP calculation (PBE) on a relaxed structure of BaTiRuS2.

Mass density = 5.06 Mg/m³
Total magnetization = 0.231 μB per atom
E_tot = -29.097 eV for the cell shown
Formation energy from raw total energies = -0.35 eV/atom

The structure in POSCAR format:
```
BaTiRuS2
1.0
5.059 0.000 0.000
0.000 4.492 0.000
0.000 0.000 5.059
Ti Ba S Ru
1 1 2 1
Direct
0.000 0.500 0.000
0.500 0.500 0.500
0.000 0.000 0.500
0.500 0.000 0.000
0.000 0.000 0.000
```

=====

Entry 2:
VASP calculation (PBE) on a relaxed structure of BaTlRu2S.

Mass density = 5.84 Mg/m³
Total magnetization = 0.857 μB per atom
E_tot = -18.462 eV for the cell shown
Formation energy from raw total energies = 1.70 eV/atom

The structure in POSCAR format:
```
BaTlRu2S
1.0
-2.795 3.466 -2.838
1.859 -2.555 -4.951
-4.157 -3.254 0.119
Tl Ru S Ba
1 2 1 1
Direct
0.500 0.500 0.500
0.000 0.000 0.500
0.500 0.000 0.000
0.000 0.500 0.000
0.000 0.000 0.000
```

=====

Entry 3:
VASP calculation (PBE) on a relaxed structure of BaU2RuS7.

Mass density = 5.95 Mg/m³
Total magnetization = 0.119 μB per atom
E_tot = -75.482 eV for the cell shown
Formation energy from raw total energies = -1.17 eV/atom

The structure in POSCAR format:
```
BaU2RuS7
1.0
-0.658 -4.812 1.681
0.733 -1.766 -4.770
9.704 2.572 3.307
S U Ba Ru
7 2 1 1
Direct
0.371 0.871 0.743
0.743 0.743 0.487
0.129 0.629 0.257
0.610 0.110 0.220
0.890 0.390 0.780
0.257 0.257 0.513
0.000 0.000 0.000
0.133 0.133 0.265
0.867 0.867 0.735
0.500 0.500 0.000
0.250 0.750 0.500
```

=====

Entry 4:
VASP calculation (PBE) on a relaxed structure of BaSb2Ru.

Mass density = 7.45 Mg/m³
Total magnetization = 0.000 μB per atom
E_tot = -19.604 eV for the cell shown
Formation energy from raw total energies = -0.04 eV/atom

The structure in POSCAR format:
```
BaSb2Ru
1.0
3.704 0.000 0.000
0.000 3.699 0.000
0.000 0.000 7.838
Sb Ru Ba
2 1 1
Direct
0.500 0.500 0.197
0.000 0.000 0.948
0.500 0.500 0.848
0.000 0.000 0.507
```

=====

Entry 5:
VASP calculation (PBE) on a relaxed structure of BaSb2Ru.

Mass density = 7.23 Mg/m³
Total magnetization = 0.055 μB per atom
E_tot = -20.151 eV for the cell shown
Formation energy from raw total energies = -0.18 eV/atom

The structure in POSCAR format:
```
BaSb2Ru
1.0
8.490 0.063 0.049
6.825 5.050 -0.049
-7.564 -2.837 2.613
Sb Ba Ru
2 1 1
Direct
0.084 0.084 0.000
0.767 0.267 0.500
0.442 0.442 0.000
0.207 0.707 0.500
```

=====

Entry 6:
VASP calculation (PBE) on a relaxed structure of BaSb2Ru.

Mass density = 5.80 Mg/m³
Total magnetization = 0.000 μB per atom
E_tot = -20.347 eV for the cell shown
Formation energy from raw total energies = -0.23 eV/atom

The structure in POSCAR format:
```
BaSb2Ru
1.0
-4.603 0.572 -0.515
0.467 -0.242 -4.440
-0.612 -6.677 -1.948
Sb Ba Ru
2 1 1
Direct
0.500 0.213 0.200
0.000 0.885 0.856
0.000 0.593 0.438
0.500 0.809 0.006
```

=====

Entry 7:
VASP calculation (PBE) on a relaxed structure of BaSb2Ru.

Mass density = 5.83 Mg/m³
Total magnetization = 0.000 μB per atom
E_tot = -40.226 eV for the cell shown
Formation energy from raw total energies = -0.17 eV/atom

The structure in POSCAR format:
```
BaSb2Ru
1.0
5.708 0.000 0.000
0.000 5.708 0.000
2.854 2.854 8.422
Sb Ba Ru
4 2 2
Direct
0.375 0.554 0.750
0.875 0.696 0.750
0.446 0.125 0.250
0.304 0.625 0.250
0.750 0.250 0.500
0.000 0.000 0.000
0.500 0.500 0.000
0.250 0.750 0.500
```

=====

Entry 8:
VASP calculation (PBE) on a relaxed structure of Ba2Sb4Ru.

Mass density = 6.02 Mg/m³
Total magnetization = 0.000 μB per atom
E_tot = -32.112 eV for the cell shown
Formation energy from raw total energies = -0.36 eV/atom

The structure in POSCAR format:
```
Ba2Sb4Ru
1.0
-4.539 1.339 -1.989
-2.322 -3.512 2.936
-4.477 5.061 7.000
Ba Sb Ru
2 4 1
Direct
0.347 0.347 0.307
0.653 0.653 0.693
0.845 0.845 0.310
0.155 0.155 0.690
0.500 0.000 0.000
0.000 0.500 0.000
0.000 0.000 0.000
```

=====

Entry 9:
VASP calculation (PBE) on a relaxed structure of BaSb2Ru.

Mass density = 7.28 Mg/m³
Total magnetization = 0.000 μB per atom
E_tot = -20.252 eV for the cell shown
Formation energy from raw total energies = -0.20 eV/atom

The structure in POSCAR format:
```
BaSb2Ru
1.0
-4.010 -3.960 -2.922
1.596 -6.099 0.739
-1.957 5.471 2.556
Sb Ru Ba
2 1 1
Direct
0.445 0.445 0.000
0.055 0.055 0.000
0.250 0.750 0.500
0.750 0.250 0.500
```

=====

Entry 10:
VASP calculation (PBE) on a relaxed structure of BaSb2Ru.

Mass density = 7.87 Mg/m³
Total magnetization = 0.000 μB per atom
E_tot = -18.927 eV for the cell shown
Formation energy from raw total energies = 0.13 eV/atom

The structure in POSCAR format:
```
BaSb2Ru
1.0
0.216 -4.739 -2.222
-4.157 -1.876 -2.579
0.136 -0.443 -5.218
Ru Sb Ba
1 2 1
Direct
0.000 0.000 0.000
0.250 0.250 0.250
0.750 0.750 0.750
0.500 0.500 0.500
```

=====

Entry 11:
VASP calculation (PBE) on a relaxed structure of BaSbRu.

Mass density = 5.69 Mg/m³
Total magnetization = 0.616 μB per atom
E_tot = -11.819 eV for the cell shown
Formation energy from raw total energies = 1.17 eV/atom

The structure in POSCAR format:
```
BaSbRu
1.0
-4.297 -1.106 -2.894
-2.637 -4.524 0.796
-4.798 0.090 2.242
Ru Sb Ba
1 1 1
Direct
0.000 0.000 0.000
0.500 0.500 0.500
0.750 0.750 0.750
```

=====

Entry 12:
VASP calculation (PBE) on a relaxed structure of BaSb2Ru2.

Mass density = 8.55 Mg/m³
Total magnetization = 0.000 μB per atom
E_tot = -56.517 eV for the cell shown
Formation energy from raw total energies = 0.09 eV/atom

The structure in POSCAR format:
```
BaSb2Ru2
1.0
8.398 0.000 0.000
0.000 8.398 0.000
0.000 0.000 3.212
Ba Ru Sb
2 4 4
Direct
0.500 0.500 0.000
0.000 0.000 0.000
0.627 0.873 0.500
0.373 0.127 0.500
0.127 0.627 0.500
0.873 0.373 0.500
0.862 0.638 0.000
0.362 0.862 0.000
0.638 0.138 0.000
0.138 0.362 0.000
```

=====

Entry 13:
VASP calculation (PBE) on a relaxed structure of BaSb2Ru.

Mass density = 7.55 Mg/m³
Total magnetization = 0.212 μB per atom
E_tot = -18.132 eV for the cell shown
Formation energy from raw total energies = 0.33 eV/atom

The structure in POSCAR format:
```
BaSb2Ru
1.0
-4.243 -3.360 -2.063
2.185 -3.670 -3.913
1.619 1.282 5.412
Ru Sb Ba
1 2 1
Direct
0.750 0.250 0.500
0.000 0.000 0.000
0.250 0.750 0.500
0.500 0.500 0.000
```

=====

Entry 14:
VASP calculation (PBE) on a relaxed structure of BaSb2Ru.

Mass density = 7.26 Mg/m³
Total magnetization = 0.000 μB per atom
E_tot = -20.091 eV for the cell shown
Formation energy from raw total energies = -0.16 eV/atom

The structure in POSCAR format:
```
BaSb2Ru
1.0
-0.300 -4.254 1.338
-0.174 -1.037 -3.334
7.026 -0.562 -0.210
Sb Ba Ru
2 1 1
Direct
0.000 0.747 0.543
0.000 0.753 0.957
0.500 0.250 0.250
0.500 0.750 0.750
```

=====

Entry 15:
VASP calculation (PBE) on a relaxed structure of BaSb2Ru.

Mass density = 7.72 Mg/m³
Total magnetization = 0.000 μB per atom
E_tot = -18.013 eV for the cell shown
Formation energy from raw total energies = 0.36 eV/atom

The structure in POSCAR format:
```
BaSb2Ru
1.0
-3.107 -4.114 1.108
0.840 -4.646 -2.348
1.892 -4.058 2.785
Sb Ba Ru
2 1 1
Direct
0.000 0.000 0.000
0.250 0.250 0.250
0.500 0.500 0.500
0.750 0.750 0.750
```

=====

Entry 16:
VASP calculation (PBE) on a relaxed structure of BaSb2Ru.

Mass density = 8.08 Mg/m³
Total magnetization = 0.094 μB per atom
E_tot = -20.149 eV for the cell shown
Formation energy from raw total energies = -0.18 eV/atom

The structure in POSCAR format:
```
BaSb2Ru
1.0
3.442 0.000 0.000
0.000 3.442 0.000
0.000 0.000 8.361
Ba Sb Ru
1 2 1
Direct
0.500 0.500 0.250
0.000 0.000 0.564
0.000 0.000 0.936
0.500 0.500 0.750
```

=====

Entry 17:
VASP calculation (PBE) on a relaxed structure of BaSb2Ru2.

Mass density = 8.75 Mg/m³
Total magnetization = 0.000 μB per atom
E_tot = -57.161 eV for the cell shown
Formation energy from raw total energies = 0.03 eV/atom

The structure in POSCAR format:
```
BaSb2Ru2
1.0
-7.174 -2.148 3.355
-3.116 -1.279 -7.482
0.994 -3.131 0.121
Ru Sb Ba
4 4 2
Direct
0.627 0.127 0.000
0.873 0.627 0.000
0.373 0.873 0.000
0.127 0.373 0.000
0.354 0.146 0.500
0.854 0.354 0.500
0.146 0.646 0.500
0.646 0.854 0.500
0.000 0.000 0.000
0.500 0.500 0.000
```

=====

Entry 18:
VASP calculation (PBE) on a relaxed structure of Ba2Sb2Ru.

Mass density = 6.94 Mg/m³
Total magnetization = 0.000 μB per atom
E_tot = -46.766 eV for the cell shown
Formation energy from raw total energies = -0.40 eV/atom

The structure in POSCAR format:
```
Ba2Sb2Ru
1.0
-0.070 1.113 -7.184
3.750 -6.149 -0.989
-4.802 -2.865 -0.397
Sb Ba Ru
4 4 2
Direct
0.648 0.148 0.000
0.852 0.648 0.000
0.148 0.352 0.000
0.352 0.852 0.000
0.830 0.330 0.500
0.330 0.170 0.500
0.170 0.670 0.500
0.670 0.830 0.500
0.500 0.500 0.000
0.000 0.000 0.000
```

=====

Entry 19:
VASP calculation (PBE) on a relaxed structure of BaSbRu.

Mass density = 7.06 Mg/m³
Total magnetization = 0.000 μB per atom
E_tot = -14.932 eV for the cell shown
Formation energy from raw total energies = 0.13 eV/atom

The structure in POSCAR format:
```
BaSbRu
1.0
4.930 0.000 0.000
2.465 4.269 0.000
2.465 1.423 4.025
Sb Ba Ru
1 1 1
Direct
0.000 0.000 0.000
0.500 0.500 0.500
0.750 0.750 0.750
```

=====

Entry 20:
VASP calculation (PBE) on a relaxed structure of BaSb2Ru2.

Mass density = 7.79 Mg/m³
Total magnetization = 0.000 μB per atom
E_tot = -30.929 eV for the cell shown
Formation energy from raw total energies = -0.44 eV/atom

The structure in POSCAR format:
```
BaSb2Ru2
1.0
4.503 -0.002 0.000
-0.002 4.503 0.000
-2.250 -2.250 6.127
Ru Sb Ba
2 2 1
Direct
0.250 0.750 0.500
0.750 0.250 0.500
0.643 0.643 0.287
0.357 0.357 0.713
0.000 0.000 0.000
```

=====

Entry 21:
VASP calculation (PBE) on a relaxed structure of BaSbRu.

Mass density = 6.88 Mg/m³
Total magnetization = 0.000 μB per atom
E_tot = -33.454 eV for the cell shown
Formation energy from raw total energies = -0.47 eV/atom

The structure in POSCAR format:
```
BaSbRu
1.0
4.577 0.000 0.000
0.000 4.577 0.000
0.000 0.000 8.301
Sb Ba Ru
2 2 2
Direct
0.500 0.000 0.663
0.000 0.500 0.337
0.000 0.500 0.814
0.500 0.000 0.186
0.000 0.000 0.500
0.500 0.500 0.500
```

=====

Entry 22:
VASP calculation (PBE) on a relaxed structure of BaSbRu.

Mass density = 7.68 Mg/m³
Total magnetization = 0.081 μB per atom
E_tot = -15.705 eV for the cell shown
Formation energy from raw total energies = -0.13 eV/atom

The structure in POSCAR format:
```
BaSbRu
1.0
-1.157 6.096 2.515
-3.525 2.523 5.103
4.334 -4.548 -2.313
Sb Ru Ba
1 1 1
Direct
0.710 0.710 0.000
0.298 0.298 0.000
0.992 0.992 0.000
```

=====

Entry 23:
VASP calculation (PBE) on a relaxed structure of BaSb4Ru.

Mass density = 6.79 Mg/m³
Total magnetization = 0.404 μB per atom
E_tot = -25.510 eV for the cell shown
Formation energy from raw total energies = 0.36 eV/atom

The structure in POSCAR format:
```
BaSb4Ru
1.0
0.000 4.459 4.459
4.459 0.000 4.459
4.459 4.459 0.000
Sb Ba Ru
4 1 1
Direct
0.373 0.373 0.880
0.373 0.373 0.373
0.373 0.880 0.373
0.880 0.373 0.373
0.750 0.750 0.750
0.000 0.000 0.000
```

=====

Entry 24:
VASP calculation (PBE) on a relaxed structure of BaSb2Ru.

Mass density = 6.99 Mg/m³
Total magnetization = 0.000 μB per atom
E_tot = -21.110 eV for the cell shown
Formation energy from raw total energies = -0.42 eV/atom

The structure in POSCAR format:
```
BaSb2Ru
1.0
4.422 -0.030 -0.001
2.239 3.813 -0.001
2.220 1.261 6.759
Ru Sb Ba
1 2 1
Direct
0.323 0.323 0.030
0.718 0.718 0.847
0.954 0.954 0.139
0.505 0.505 0.484
```

=====

Entry 25:
VASP calculation (PBE) on a relaxed structure of Ba2SbRu2.

Mass density = 6.51 Mg/m³
Total magnetization = 0.000 μB per atom
E_tot = -24.666 eV for the cell shown
Formation energy from raw total energies = 0.37 eV/atom

The structure in POSCAR format:
```
Ba2SbRu2
1.0
-3.848 -1.549 4.172
0.572 5.689 1.383
-1.739 -1.065 -5.518
Ba Ru Sb
2 2 1
Direct
0.250 0.750 0.500
0.750 0.250 0.500
0.348 0.348 0.000
0.652 0.652 0.000
0.000 0.000 0.000
```

=====

Entry 26:
VASP calculation (PBE) on a relaxed structure of BaSb2Ru.

Mass density = 7.23 Mg/m³
Total magnetization = 0.000 μB per atom
E_tot = -21.183 eV for the cell shown
Formation energy from raw total energies = -0.44 eV/atom

The structure in POSCAR format:
```
BaSb2Ru
1.0
-3.035 -1.061 -3.188
-2.929 -3.381 0.700
-6.035 2.541 1.681
Ba Sb Ru
1 2 1
Direct
0.750 0.750 0.750
0.964 0.964 0.108
0.536 0.536 0.392
0.250 0.250 0.250
```

=====

Entry 27:
VASP calculation (PBE) on a relaxed structure of BaSb2Ru.

Mass density = 7.68 Mg/m³
Total magnetization = 0.000 μB per atom
E_tot = -18.404 eV for the cell shown
Formation energy from raw total energies = 0.26 eV/atom

The structure in POSCAR format:
```
BaSb2Ru
1.0
4.641 -0.002 -0.002
0.002 4.641 -0.002
0.002 0.002 4.839
Sb Ba Ru
2 1 1
Direct
0.500 0.500 0.000
0.000 0.000 0.000
0.500 0.000 0.500
0.000 0.500 0.500
```

=====

Entry 28:
VASP calculation (PBE) on a relaxed structure of BaSnSbRu2.

Mass density = 6.38 Mg/m³
Total magnetization = 0.074 μB per atom
E_tot = -24.012 eV for the cell shown
Formation energy from raw total energies = 0.92 eV/atom

The structure in POSCAR format:
```
BaSnSbRu2
1.0
-4.075 2.424 -1.439
-3.450 -4.803 1.682
-0.461 1.923 4.544
Sn Ru Sb Ba
1 2 1 1
Direct
0.500 0.500 0.500
0.500 0.000 0.000
0.000 0.000 0.500
0.000 0.000 0.000
0.000 0.500 0.000
```